[1]
6
Lattice="3.5743 0.0000 0.0000 0.0000 3.5743 0.0000 0.0000 0.0000 11.1296" Properties=species:S:1:pos:R:3 comment="GGA-PBE LiHo2Cd3, relaxed" delta_e_f_kj_per_mol_fu=-161 energy_ev_per_atom=-2.58 polymorph_energy_ev_per_fu=0.000 sg="P4/mmm (123)" pbc="T T T"
Li 0.0000 0.0000 0.0000
Ho 0.0000 0.0000 3.6015
Ho 0.0000 0.0000 7.5281
Cd 1.7872 1.7872 1.5841
Cd 1.7872 1.7872 5.5648
Cd 1.7872 1.7872 9.5454

[2]
10
Lattice="-5.4920 5.4920 3.6453 5.4920 -5.4920 3.6453 5.4920 5.4920 -3.6453" Properties=species:S:1:pos:R:3 comment="GGA-PBE Rb4Tl5Sn, relaxed" delta_e_f_kj_per_mol_fu=-99 energy_ev_per_atom=-2.07 sg="I4 (79)" pbc="T T T"
Rb 7.6468 0.7363 0.0000
Rb 0.7363 3.3372 0.0000
Rb 4.7557 2.1548 3.6453
Rb -2.1548 4.7557 3.6453
Tl 4.6244 3.2041 -0.0249
Tl 2.2878 -0.8676 3.6204
Tl 3.2041 6.3595 -0.0249
Tl 0.8676 2.2878 3.6204
Tl 0.0000 0.0000 5.7015
Sn 0.0000 0.0000 1.7070

[3]
18
Lattice="5.2578 0.0000 0.0000 -2.6289 4.5534 0.0000 0.0000 0.0000 9.5177" Properties=species:S:1:pos:R:3 comment="GGA-PBE MgTlOsO6, relaxed" energy_ev_per_atom=-6.22 raw_formation_energy_kj_per_mol_atoms=-117.98 sg="P-31c (163)" pbc="T T T"
Mg 0.0000 3.0356 2.3794
Mg 2.6289 1.5178 7.1383
Tl 0.0000 0.0000 0.0000
Tl 0.0000 0.0000 4.7589
Os 0.0000 3.0356 7.1383
Os 2.6289 1.5178 2.3794
O -0.8779 1.7396 6.0696
O -1.5614 2.9233 8.2070
O 0.8779 1.7396 8.2070
O -0.6835 4.4439 6.0696
O 1.9455 0.1095 1.3107
O 1.0675 1.6301 3.4481
O 1.5614 2.9233 6.0696
O 0.6835 4.4439 8.2070
O 3.3124 0.1095 3.4481
O 1.7510 2.8139 1.3107
O 4.1903 1.6301 1.3107
O 3.5068 2.8139 3.4481